Material: Mg30TiCoO32
Method: DFT, PBEsol
State: optimized geometry

```
Mg30TiCoO32
1.0
8.452 0.000 0.000
0.000 8.444 0.000
0.000 0.000 8.444
Mg O Ti Co
30 32 1 1
Direct
0.248 0.247 0.000
0.248 0.000 0.753
0.748 0.500 0.752
0.752 0.000 0.753
0.000 0.756 0.756
0.752 0.753 0.000
0.000 0.756 0.244
0.252 0.500 0.752
0.500 0.500 0.000
0.500 0.751 0.249
0.752 0.247 0.000
0.252 0.248 0.500
0.252 0.500 0.248
0.748 0.500 0.248
0.248 0.000 0.247
0.500 0.500 0.500
0.500 0.000 0.500
0.500 0.249 0.751
0.500 0.249 0.249
0.500 0.000 0.000
0.500 0.751 0.751
0.000 0.244 0.756
0.748 0.248 0.500
0.000 0.000 0.500
0.252 0.752 0.500
0.000 0.500 0.000
0.752 0.000 0.247
0.748 0.752 0.500
0.248 0.753 0.000
0.000 0.244 0.244
0.250 0.000 0.500
0.249 0.250 0.250
0.000 0.000 0.739
0.249 0.250 0.750
0.000 0.500 0.745
0.250 0.500 0.000
0.749 0.500 0.500
0.500 0.749 0.500
0.000 0.745 0.500
0.750 0.500 0.000
0.751 0.250 0.250
0.249 0.750 0.250
0.500 0.500 0.749
0.000 0.000 0.261
0.000 0.255 0.500
0.500 0.000 0.251
0.000 0.261 0.000
0.751 0.250 0.750
0.249 0.750 0.750
0.742 0.000 0.000
0.500 0.749 0.000
0.751 0.750 0.250
0.000 0.739 0.000
0.000 0.500 0.255
0.751 0.750 0.750
0.500 0.251 0.000
0.251 0.500 0.500
0.750 0.000 0.500
0.258 0.000 0.000
0.500 0.000 0.749
0.500 0.500 0.251
0.500 0.251 0.500
0.000 0.500 0.500
0.000 0.000 0.000
```

Results
Symmetry: P4/mmm, No. 123
Total moment, μB per formula unit: 3.3
Density of states at the Fermi level, states/eV per atom: 0.27
Formation energy without anion corrections, eV/atom: -2.655



Material: ReSiBr3
Method: DFT, PBEsol
State: optimized geometry

```
ReSiBr3
1.0
4.970 0.000 0.000
0.000 4.970 0.000
0.000 0.000 4.970
Br Re Si
3 1 1
Direct
0.000 0.000 0.500
0.500 0.000 0.000
0.000 0.500 0.000
0.000 0.000 0.000
0.500 0.500 0.500
```

Results
Symmetry: Pm-3m, No. 221
Total moment, μB per formula unit: 2.6
Density of states at the Fermi level, states/eV per atom: 0.96
Formation energy without anion corrections, eV/atom: 0.938



Material: MnZn2Co
Method: DFT, PBEsol
State: optimized geometry

```
MnZn2Co
1.0
3.640 0.000 0.000
0.000 3.640 0.000
-1.820 -1.820 3.679
Zn Co Mn
2 1 1
Direct
0.750 0.250 0.500
0.250 0.750 0.500
0.500 0.500 0.000
0.000 0.000 0.000
```

Results
Symmetry: I4/mmm, No. 139
ΔE_f, eV/atom: -0.01
Total moment, μB per formula unit: 4.4
Density of states at the Fermi level, states/eV per atom: 0.53
ΔE to the lowest computed polymorph, meV per atom: 0.0



Material: YMnF3
Method: DFT, PBEsol
State: optimized geometry

```
YMnF3
1.0
-4.308 -0.978 -0.019
0.483 -2.054 -3.881
0.851 -3.787 2.110
F Y Mn
3 1 1
Direct
0.500 0.000 0.000
0.000 0.000 0.500
0.000 0.500 0.000
0.000 0.000 0.000
0.500 0.500 0.500
```

Results
Symmetry: Pm-3m, No. 221
Total moment, μB per formula unit: 5.0
Density of states at the Fermi level, states/eV per atom: 0.55
Formation energy without anion corrections, eV/atom: -2.354



Material: KSi2Pt
Method: DFT, PBEsol
State: optimized geometry

```
KSi2Pt
1.0
4.074 0.000 0.000
-2.037 3.523 -0.039
0.000 -2.285 6.241
K Pt Si
1 1 2
Direct
0.000 0.000 0.500
0.500 0.000 0.000
0.204 0.409 0.114
0.796 0.591 0.886
```

Results
Symmetry: C2/m, No. 12
Total moment, μB per formula unit: 0.0
Density of states at the Fermi level, states/eV per atom: 0.97
Formation energy without anion corrections, eV/atom: -0.350



Material: CaNiTeI2
Method: DFT, PBEsol
State: optimized geometry

```
CaNiTeI2
1.0
5.795 0.000 0.000
0.000 5.795 0.000
0.000 0.000 5.986
I Ca Ni Te
2 1 1 1
Direct
0.500 0.000 0.000
0.000 0.500 0.000
0.000 0.000 0.000
0.500 0.500 0.500
0.000 0.000 0.500
```

Results
Symmetry: P4/mmm, No. 123
Total moment, μB per formula unit: 1.8
Density of states at the Fermi level, states/eV per atom: 1.77
Formation energy without anion corrections, eV/atom: 0.359



Material: BeAs2BrO
Method: DFT, PBEsol
State: optimized geometry

```
BeAs2BrO
1.0
-3.256 1.153 -0.978
0.825 -1.733 -4.788
-2.010 -4.568 1.307
Be O As Br
1 1 2 1
Direct
0.500 0.500 0.500
0.500 0.000 0.000
0.000 0.500 0.000
0.000 0.000 0.500
0.000 0.000 0.000
```

Results
Symmetry: P4/mmm, No. 123
Total moment, μB per formula unit: 0.0
Density of states at the Fermi level, states/eV per atom: 0.43
Formation energy without anion corrections, eV/atom: 1.165



Material: InHgBr
Method: DFT, PBEsol
State: optimized geometry

```
InHgBr
1.0
-3.691 3.587 -0.444
-4.376 -1.094 -2.519
-4.427 -0.511 2.614
In Br Hg
1 1 1
Direct
0.250 0.250 0.250
0.000 0.000 0.000
0.500 0.500 0.500
```

Results
Symmetry: F-43m, No. 216
Total moment, μB per formula unit: 0.0
ΔE to the lowest computed polymorph, meV per atom: 22.7
Formation energy without anion corrections, eV/atom: -0.306



Material: Cs2Br2F
Method: DFT, PBEsol
State: optimized geometry

```
Cs2Br2F
1.0
-2.340 -2.397 2.826
3.664 -1.000 2.186
-1.803 9.011 2.753
Cs F Br
2 1 2
Direct
0.401 0.401 0.803
0.599 0.599 0.197
0.000 0.000 0.000
0.750 0.250 0.500
0.250 0.750 0.500
```

Results
Symmetry: I4/mmm, No. 139
Total moment, μB per formula unit: 0.0
Density of states at the Fermi level, states/eV per atom: 0.42
Formation energy without anion corrections, eV/atom: -1.487



Material: LiZnSb2
Method: DFT, PBEsol
State: optimized geometry

```
LiZnSb2
1.0
3.820 0.000 0.000
0.000 3.820 0.000
0.000 0.000 5.777
Sb Zn Li
2 1 1
Direct
0.500 0.500 0.283
0.000 0.000 0.964
0.000 0.000 0.481
0.500 0.500 0.772
```

Results
Symmetry: P4mm, No. 99
Total moment, μB per formula unit: 0.0
Density of states at the Fermi level, states/eV per atom: 0.47
Formation energy without anion corrections, eV/atom: -0.045



Material: La2NiRuO6
Method: DFT, PBEsol
State: optimized geometry

```
La2NiRuO6
1.0
5.458 0.000 -0.017
0.000 5.655 0.000
0.019 0.000 7.780
O Ru La Ni
12 2 4 2
Direct
0.418 0.021 0.252
0.801 0.209 0.044
0.707 0.703 0.043
0.293 0.297 0.957
0.793 0.203 0.457
0.301 0.291 0.544
0.918 0.479 0.752
0.207 0.797 0.543
0.699 0.709 0.456
0.082 0.521 0.248
0.199 0.791 0.956
0.582 0.979 0.748
0.000 0.500 0.000
0.500 0.000 0.500
0.488 0.552 0.751
0.012 0.052 0.749
0.988 0.948 0.251
0.512 0.448 0.249
0.000 0.500 0.500
0.500 0.000 0.000
```

Results
Symmetry: P2_1/c, No. 14
Total moment, μB per formula unit: 4.0
Density of states at the Fermi level, states/eV per atom: 0.37
Formation energy without anion corrections, eV/atom: -2.218



Material: Al3InSn
Method: DFT, PBEsol
State: optimized geometry

```
Al3InSn
1.0
5.197 0.000 0.000
0.000 5.197 0.000
0.000 0.000 5.197
Al Sn In
3 1 1
Direct
0.000 0.000 0.500
0.000 0.500 0.000
0.500 0.000 0.000
0.000 0.000 0.000
0.500 0.500 0.500
```

Results
Symmetry: Pm-3m, No. 221
ΔE_f, eV/atom: 0.80
Total moment, μB per formula unit: 0.0
Density of states at the Fermi level, states/eV per atom: 0.65